[1]
# NaMgSiH2, optimized geometry, DFT GGA-PBE
# - VASP energy (eV/atom) = -2.48
data_NaMgSiH2
_symmetry_space_group_name_H-M 'P 4/m m m'
_symmetry_Int_Tables_number 123
_symmetry_space_group_name_Hall '-P 4 2'
_cell_length_a 3.9181
_cell_length_b 3.9181
_cell_length_c 5.3788
_cell_angle_alpha 90.00
_cell_angle_beta 90.00
_cell_angle_gamma 90.00
loop_
_atom_site_label
_atom_site_type_symbol
_atom_site_fract_x
_atom_site_fract_y
_atom_site_fract_z
Na1 Na 0.0000 0.0000 0.0000
Mg1 Mg 0.5000 0.5000 0.0000
Si1 Si 0.5000 0.5000 0.5000
H1 H 0.0000 0.5000 0.5000

---

[2]
# Na2MgSnH, optimized geometry, DFT GGA-PBE
# - VASP energy (eV/atom) = -2.41
data_Na2MgSnH
_symmetry_space_group_name_H-M 'P 4/m m m'
_symmetry_Int_Tables_number 123
_symmetry_space_group_name_Hall '-P 4 2'
_cell_length_a 4.5180
_cell_length_b 4.5180
_cell_length_c 4.9322
_cell_angle_alpha 90.00
_cell_angle_beta 90.00
_cell_angle_gamma 90.00
loop_
_atom_site_label
_atom_site_type_symbol
_atom_site_fract_x
_atom_site_fract_y
_atom_site_fract_z
Na1 Na 0.0000 0.5000 0.0000
Mg1 Mg 0.0000 0.0000 0.5000
Sn1 Sn 0.5000 0.5000 0.5000
H1 H 0.0000 0.0000 0.0000

---

[3]
# NaMg2SnH, optimized geometry, DFT GGA-PBE
# - VASP energy (eV/atom) = -2.48
data_NaMg2SnH
_symmetry_space_group_name_H-M 'P 4/m m m'
_symmetry_Int_Tables_number 123
_symmetry_space_group_name_Hall '-P 4 2'
_cell_length_a 4.5870
_cell_length_b 4.5870
_cell_length_c 4.4347
_cell_angle_alpha 90.00
_cell_angle_beta 90.00
_cell_angle_gamma 90.00
loop_
_atom_site_label
_atom_site_type_symbol
_atom_site_fract_x
_atom_site_fract_y
_atom_site_fract_z
Na1 Na 0.0000 0.0000 0.0000
Mg1 Mg 0.0000 0.5000 0.5000
Sn1 Sn 0.5000 0.5000 0.0000
H1 H 0.0000 0.0000 0.5000

---

[4]
# NaMg2TaH, optimized geometry, DFT GGA-PBE
# - VASP energy (eV/atom) = -3.29
data_NaMg2TaH
_symmetry_space_group_name_H-M 'P 4/m m m'
_symmetry_Int_Tables_number 123
_symmetry_space_group_name_Hall '-P 4 2'
_cell_length_a 5.6928
_cell_length_b 5.6928
_cell_length_c 3.4488
_cell_angle_alpha 90.00
_cell_angle_beta 90.00
_cell_angle_gamma 90.00
loop_
_atom_site_label
_atom_site_type_symbol
_atom_site_fract_x
_atom_site_fract_y
_atom_site_fract_z
Na1 Na 0.0000 0.0000 0.0000
Mg1 Mg 0.0000 0.5000 0.5000
Ta1 Ta 0.5000 0.5000 0.5000
H1 H 0.5000 0.5000 0.0000

---

[5]
# NaMgTeH, optimized geometry, DFT GGA-PBE
# - VASP energy (eV/atom) = -2.93
data_NaMgTeH
_symmetry_space_group_name_H-M 'R -3 m'
_symmetry_Int_Tables_number 166
_symmetry_space_group_name_Hall '-R 3 2"'
_cell_length_a 4.4545
_cell_length_b 4.4545
_cell_length_c 34.6495
_cell_angle_alpha 90.00
_cell_angle_beta 90.00
_cell_angle_gamma 120.00
loop_
_atom_site_label
_atom_site_type_symbol
_atom_site_fract_x
_atom_site_fract_y
_atom_site_fract_z
Na1 Na 0.0000 0.0000 0.0000
Na2 Na 0.0000 0.0000 0.5000
Mg1 Mg 0.0000 0.0000 0.2412
Te1 Te 0.0000 0.0000 0.3927
H1 H 0.0000 0.0000 0.1892

---

[6]
# NaMgTl2H, optimized geometry, DFT GGA-PBE
# - VASP energy (eV/atom) = -1.86
data_NaMgTl2H
_symmetry_space_group_name_H-M 'P 4/m m m'
_symmetry_Int_Tables_number 123
_symmetry_space_group_name_Hall '-P 4 2'
_cell_length_a 5.9861
_cell_length_b 5.9861
_cell_length_c 3.6446
_cell_angle_alpha 90.00
_cell_angle_beta 90.00
_cell_angle_gamma 90.00
loop_
_atom_site_label
_atom_site_type_symbol
_atom_site_fract_x
_atom_site_fract_y
_atom_site_fract_z
Na1 Na 0.0000 0.0000 0.0000
Mg1 Mg 0.5000 0.5000 0.5000
Tl1 Tl 0.0000 0.5000 0.0000
H1 H 0.0000 0.0000 0.5000

---

[7]
# NaY2MgH, optimized geometry, DFT GGA-PBE
# - VASP energy (eV/atom) = -3.86
data_NaY2MgH
_symmetry_space_group_name_H-M 'P 4/m m m'
_symmetry_Int_Tables_number 123
_symmetry_space_group_name_Hall '-P 4 2'
_cell_length_a 4.9574
_cell_length_b 4.9574
_cell_length_c 4.7176
_cell_angle_alpha 90.00
_cell_angle_beta 90.00
_cell_angle_gamma 90.00
loop_
_atom_site_label
_atom_site_type_symbol
_atom_site_fract_x
_atom_site_fract_y
_atom_site_fract_z
Na1 Na 0.0000 0.0000 0.0000
Y1 Y 0.0000 0.5000 0.5000
Mg1 Mg 0.5000 0.5000 0.0000
H1 H 0.0000 0.0000 0.5000

---

[8]
# Na2MgZnH6, optimized geometry, DFT GGA-PBE
# - VASP energy (eV/atom) = -2.66
data_Na2MgZnH6
_symmetry_space_group_name_H-M 'P 4/m m m'
_symmetry_Int_Tables_number 123
_symmetry_space_group_name_Hall '-P 4 2'
_cell_length_a 5.3117
_cell_length_b 5.3117
_cell_length_c 3.7413
_cell_angle_alpha 90.00
_cell_angle_beta 90.00
_cell_angle_gamma 90.00
loop_
_atom_site_label
_atom_site_type_symbol
_atom_site_fract_x
_atom_site_fract_y
_atom_site_fract_z
Na1 Na 0.0000 0.5000 0.0000
Mg1 Mg 0.0000 0.0000 0.5000
Zn1 Zn 0.5000 0.5000 0.5000
H1 H 0.0000 0.0000 0.0000
H2 H 0.2573 0.2573 0.5000
H3 H 0.5000 0.5000 0.0000

---

[9]
# NaMgZr2H, optimized geometry, DFT GGA-PBE
# - VASP energy (eV/atom) = -4.45
data_NaMgZr2H
_symmetry_space_group_name_H-M 'P 4/m m m'
_symmetry_Int_Tables_number 123
_symmetry_space_group_name_Hall '-P 4 2'
_cell_length_a 4.3857
_cell_length_b 4.3857
_cell_length_c 4.9447
_cell_angle_alpha 90.00
_cell_angle_beta 90.00
_cell_angle_gamma 90.00
loop_
_atom_site_label
_atom_site_type_symbol
_atom_site_fract_x
_atom_site_fract_y
_atom_site_fract_z
Na1 Na 0.0000 0.0000 0.0000
Mg1 Mg 0.5000 0.5000 0.0000
Zr1 Zr 0.0000 0.5000 0.5000
H1 H 0.5000 0.5000 0.5000

---

[10]
# Mg3NbH8, optimized geometry, DFT GGA-PBE
# - VASP energy (eV/atom) = -3.63
data_Mg3NbH8
_symmetry_space_group_name_H-M 'P m -3 m'
_symmetry_Int_Tables_number 221
_symmetry_space_group_name_Hall '-P 4 2 3'
_cell_length_a 4.6358
_cell_length_b 4.6358
_cell_length_c 4.6358
_cell_angle_alpha 90.00
_cell_angle_beta 90.00
_cell_angle_gamma 90.00
loop_
_atom_site_label
_atom_site_type_symbol
_atom_site_fract_x
_atom_site_fract_y
_atom_site_fract_z
Mg1 Mg 0.0000 0.0000 0.5000
Nb1 Nb 0.5000 0.5000 0.5000
H1 H 0.2555 0.2555 0.2555

---

[11]
# Mg2NbH, optimized geometry, DFT GGA-PBE
# - excess energy over the best structure of this formula in the dataset (meV per atom) = 0.0
data_Mg2NbH
_symmetry_space_group_name_H-M 'I -4 2 d'
_symmetry_Int_Tables_number 122
_symmetry_space_group_name_Hall 'I -4 2bw'
_cell_length_a 5.7242
_cell_length_b 5.7242
_cell_length_c 7.8505
_cell_angle_alpha 90.00
_cell_angle_beta 90.00
_cell_angle_gamma 90.00
loop_
_atom_site_label
_atom_site_type_symbol
_atom_site_fract_x
_atom_site_fract_y
_atom_site_fract_z
Mg1 Mg 0.0670 0.2500 0.1250
Nb1 Nb 0.0000 0.0000 0.5000
H1 H 0.0000 0.0000 0.0000

---

[12]
# Mg3NbH, optimized geometry, DFT GGA-PBE
# - excess energy over the best structure of this formula in the dataset (meV per atom) = 0.0
data_Mg3NbH
_symmetry_space_group_name_H-M 'P m -3 m'
_symmetry_Int_Tables_number 221
_symmetry_space_group_name_Hall '-P 4 2 3'
_cell_length_a 4.3540
_cell_length_b 4.3540
_cell_length_c 4.3540
_cell_angle_alpha 90.00
_cell_angle_beta 90.00
_cell_angle_gamma 90.00
loop_
_atom_site_label
_atom_site_type_symbol
_atom_site_fract_x
_atom_site_fract_y
_atom_site_fract_z
Mg1 Mg 0.0000 0.0000 0.5000
Nb1 Nb 0.5000 0.5000 0.5000
H1 H 0.0000 0.0000 0.0000

---

| no. | density of states at the Fermi level (states/eV per cell) |
| --- | --- |
| 1 | 2.26 |
| 2 | 1.79 |
| 3 | 1.09 |
| 4 | 3.37 |
| 5 | 0.00 |
| 6 | 2.59 |
| 7 | 4.72 |
| 8 | 0.08 |
| 9 | 4.83 |
| 10 | 1.85 |
| 11 | 20.90 |
| 12 | 2.21 |